# 1
SmPuGa2, relaxed, DFT PBE; theoretical density = 9.35 g cm⁻³; offset from the most stable computed form = 0.02 eV/f.u.; SG = Fm-3m, No. 225; energy relative to the elements = -387 meV per atom; electronic total energy = -26.654 eV/f.u.
1.0
0.0000 3.6185 3.6185
3.6185 0.0000 3.6185
3.6185 3.6185 0.0000
Sm Pu Ga
1 1 2
Direct
0.0000 0.0000 0.0000 Sm
0.5000 0.5000 0.5000 Pu
0.2500 0.2500 0.2500 Ga
0.7500 0.7500 0.7500 Ga

***

# 2
K3Hf3NiSe8, relaxed, DFT PBE; theoretical density = 5.52 g cm⁻³; SG = R-3m, No. 166; electronic total energy = -84.066 eV/f.u.
1.0
3.8573 2.2270 7.8407
-3.8573 2.2270 7.8407
0.0000 -4.4540 7.8407
K Hf Ni Se
3 3 1 8
Direct
0.0000 0.5000 0.5000 K
0.5000 0.0000 0.5000 K
0.5000 0.5000 0.0000 K
0.0000 0.0000 0.5000 Hf
0.0000 0.5000 0.0000 Hf
0.5000 0.0000 0.0000 Hf
0.5000 0.5000 0.5000 Ni
0.2332 0.2332 0.2332 Se
0.2339 0.7271 0.7271 Se
0.2729 0.2729 0.7661 Se
0.2729 0.7661 0.2729 Se
0.7271 0.2339 0.7271 Se
0.7271 0.7271 0.2339 Se
0.7661 0.2729 0.2729 Se
0.7668 0.7668 0.7668 Se

***

# 3
BiMo3Pd, relaxed, DFT PBE; theoretical density = 8.98 g cm⁻³; offset from the most stable computed form = 0.00 eV/f.u.; SG = Pm-3m, No. 221; energy relative to the elements = 1722 meV per atom; electronic total energy = -32.959 eV/f.u.
1.0
4.8131 0.0000 0.0000
0.0000 4.8131 0.0000
0.0000 0.0000 4.8131
Bi Mo Pd
1 3 1
Direct
0.0000 0.0000 0.0000 Bi
0.0000 0.5000 0.5000 Mo
0.5000 0.0000 0.5000 Mo
0.5000 0.5000 0.0000 Mo
0.5000 0.5000 0.5000 Pd

***

# 4
Ce5IrRu2, relaxed, DFT PBE; theoretical density = 7.84 g cm⁻³; SG = Cmcm, No. 63; energy relative to the elements = -248 meV per atom; electronic total energy = -59.065 eV/f.u.
1.0
2.7615 -6.1363 0.0000
2.7615 6.1363 0.0000
0.0000 0.0000 13.6801
Ce Ir Ru
10 2 4
Direct
0.0477 0.9523 0.6207 Ce
0.0477 0.9523 0.8793 Ce
0.2569 0.7431 0.2500 Ce
0.3429 0.6571 0.5653 Ce
0.3429 0.6571 0.9347 Ce
0.6571 0.3429 0.0653 Ce
0.6571 0.3429 0.4347 Ce
0.7431 0.2569 0.7500 Ce
0.9523 0.0477 0.1207 Ce
0.9523 0.0477 0.3793 Ce
0.2202 0.7798 0.7500 Ir
0.7798 0.2202 0.2500 Ir
0.1488 0.8512 0.0607 Ru
0.1488 0.8512 0.4393 Ru
0.8512 0.1488 0.5607 Ru
0.8512 0.1488 0.9393 Ru

***

# 5
Ti8Al2Zn, relaxed, DFT PBE; theoretical density = 4.42 g cm⁻³; SG = P4/mmm, No. 123; energy relative to the elements = -117 meV per atom; electronic total energy = -73.206 eV/f.u.
1.0
4.0270 0.0000 0.0000
0.0000 4.0270 0.0000
0.0000 0.0000 11.6466
Ti Al Zn
8 2 1
Direct
0.0000 0.0000 0.1765 Ti
0.0000 0.0000 0.8235 Ti
0.0000 0.5000 0.0000 Ti
0.0000 0.5000 0.3465 Ti
0.0000 0.5000 0.6535 Ti
0.5000 0.0000 0.0000 Ti
0.5000 0.0000 0.3465 Ti
0.5000 0.0000 0.6535 Ti
0.5000 0.5000 0.1776 Al
0.5000 0.5000 0.8224 Al
0.5000 0.5000 0.5000 Zn

***

# 6
Ce3Al2Si4, relaxed, DFT PBE; theoretical density = 5.31 g cm⁻³; offset from the most stable computed form = 0.37 eV/f.u.; SG = C2/m, No. 12; electronic total energy = -51.995 eV/f.u.
1.0
5.5795 -2.0798 0.0000
5.5795 2.0798 0.0000
-3.3217 0.0000 7.9070
Ce Al Si
3 2 4
Direct
0.0000 0.0000 0.0000 Ce
0.3854 0.3854 0.3171 Ce
0.6146 0.6146 0.6829 Ce
0.3249 0.3249 0.6821 Al
0.6751 0.6751 0.3179 Al
0.0994 0.0994 0.4038 Si
0.2736 0.2736 0.9443 Si
0.7264 0.7264 0.0557 Si
0.9006 0.9006 0.5962 Si

***

# 7
CeErMn, relaxed, DFT PBE; theoretical density = 8.77 g cm⁻³; SG = I4mm, No. 107; energy relative to the elements = 166 meV per atom; electronic total energy = -19.168 eV/f.u.
1.0
-1.6476 1.6476 6.3163
1.6476 -1.6476 6.3163
1.6476 1.6476 -6.3163
Ce Er Mn
1 1 1
Direct
0.0000 0.0000 0.0000 Ce
0.2572 0.2572 0.0000 Er
0.6184 0.6184 0.0000 Mn

***

# 8
TlHI2O, relaxed, DFT PBE; theoretical density = 4.65 g cm⁻³; offset from the most stable computed form = 0.00 eV/f.u.; SG = P4/mmm, No. 123; electronic total energy = -11.227 eV/f.u.
1.0
6.5526 0.0000 0.0000
0.0000 6.5526 0.0000
0.0000 0.0000 3.9565
Tl H I O
1 1 2 1
Direct
0.0000 0.0000 0.0000 Tl
0.5000 0.5000 0.5000 H
0.0000 0.5000 0.0000 I
0.5000 0.0000 0.0000 I
0.0000 0.0000 0.5000 O

***

# 9
LiCaY2Ni, relaxed, DFT PBE; theoretical density = 3.05 g cm⁻³; offset from the most stable computed form = 0.00 eV/f.u.; SG = P4/mmm, No. 123; energy relative to the elements = 4 meV per atom; electronic total energy = -22.602 eV/f.u.
1.0
5.2454 0.0000 0.0000
0.0000 5.2454 0.0000
0.0000 0.0000 5.6092
Li Ca Y Ni
1 1 2 1
Direct
0.0000 0.0000 0.0000 Li
0.5000 0.5000 0.0000 Ca
0.0000 0.5000 0.5000 Y
0.5000 0.0000 0.5000 Y
0.5000 0.5000 0.5000 Ni

***

# 10
ThNb2W, relaxed, DFT PBE; theoretical density = 11.91 g cm⁻³; SG = P4/mmm, No. 123; energy relative to the elements = 191 meV per atom; electronic total energy = -39.749 eV/f.u.
1.0
3.2932 0.0000 0.0000
0.0000 3.2932 0.0000
0.0000 0.0000 7.7330
Th Nb W
1 2 1
Direct
0.0000 0.0000 0.0000 Th
0.5000 0.5000 0.2999 Nb
0.5000 0.5000 0.7001 Nb
0.0000 0.0000 0.5000 W

***

# 11
KAgIN2, relaxed, DFT PBE; theoretical density = 2.81 g cm⁻³; offset from the most stable computed form = 3.13 eV/f.u.; SG = P4/mmm, No. 123; electronic total energy = -13.165 eV/f.u.
1.0
5.0210 0.0000 0.0000
0.0000 5.0210 0.0000
0.0000 0.0000 7.0767
K Ag I N
1 1 1 2
Direct
0.0000 0.0000 0.0000 K
0.5000 0.5000 0.5000 Ag
0.0000 0.0000 0.5000 I
0.0000 0.5000 0.0000 N
0.5000 0.0000 0.0000 N

***

# 12
Sc2Ga2Os, relaxed, DFT PBE; theoretical density = 7.78 g cm⁻³; offset from the most stable computed form = 4.09 eV/f.u.; SG = I4/mmm, No. 139; energy relative to the elements = 344 meV per atom; electronic total energy = -28.225 eV/f.u.
1.0
-1.8986 1.8986 6.2119
1.8986 -1.8986 6.2119
1.8986 1.8986 -6.2119
Sc Ga Os
2 2 1
Direct
0.2500 0.7500 0.5000 Sc
0.7500 0.2500 0.5000 Sc
0.0922 0.0922 0.0000 Ga
0.9078 0.9078 0.0000 Ga
0.5000 0.5000 0.0000 Os